BaZrW | PBE | optimized geometry

For the electronic total energy, the calculation gives -19.9 eV per cell. The formation energy is 1166 meV per atom. The calculation puts the total magnetization at 0.0 μB/f.u. Its energy above the most stable polymorph in this dataset is 383 meV per atom.

The space group is P3m1 (No. 156) and the conventional cell measures 5.1521, 5.1521 and 3.1498 Å, with angles of 90.00, 90.00 and 120.00 degrees. Symmetry generates all atoms from Ba at (0.0000, 0.0000, 0.0000), Zr at (0.3333, 0.6667, 0.6074) and W at (0.6667, 0.3333, 0.3590).

Ba2ZrW | PBE | optimized geometry

For the electronic total energy, the calculation gives -41.0 eV per cell. The formation energy is 1207 meV per atom. The calculation puts the total magnetization at 0.0 μB/f.u. Its energy above the most stable polymorph in this dataset is 584 meV per atom.

The space group is I-4m2 (No. 119) and the conventional cell measures 5.4630, 5.4630 and 7.6901 Å, with angles of 90.00, 90.00 and 90.00 degrees. Symmetry generates all atoms from Ba at (0.0000, 0.0000, 0.0000), Ba at (0.0000, 0.5000, 0.2500), Zr at (0.0000, 0.0000, 0.5000) and W at (0.0000, 0.5000, 0.7500).

BaZrW2 | PBE | optimized geometry

For the electronic total energy, the calculation gives -33.1 eV per cell. The formation energy is 817 meV per atom. The calculation puts the total magnetization at 0.0 μB/f.u. Its energy above the most stable polymorph in this dataset is 251 meV per atom.

The space group is P2/m (No. 10) and the conventional cell measures 2.9895, 4.7329 and 7.1861 Å, with angles of 90.00, 94.62 and 90.00 degrees. Symmetry generates all atoms from Ba at (0.0000, 0.0000, 0.0000), Zr at (0.5000, 0.0000, 0.5000) and W at (0.0745, 0.5000, 0.3395).

BaZrW2 | PBE | optimized geometry

For the electronic total energy, the calculation gives -30.5 eV per cell. The formation energy is 1471 meV per atom. The calculation puts the total magnetization at 0.0 μB/f.u. Its energy above the most stable polymorph in this dataset is 905 meV per atom.

The space group is P4/mmm (No. 123) and the conventional cell measures 4.0551, 4.0551 and 5.2870 Å, with angles of 90.00, 90.00 and 90.00 degrees. Symmetry generates all atoms from Ba at (0.0000, 0.0000, 0.0000), Zr at (0.5000, 0.5000, 0.0000) and W at (0.0000, 0.5000, 0.5000).

Ba4ZrW | PBE | optimized geometry

For the electronic total energy, the calculation gives -79.9 eV per cell. The formation energy is 1534 meV per atom. The calculation puts the total magnetization at 0.5 μB/f.u.

The space group is F-43m (No. 216) and the conventional cell measures 9.8616, 9.8616 and 9.8616 Å, with angles of 90.00, 90.00 and 90.00 degrees. Symmetry generates all atoms from Ba at (0.1248, 0.1248, 0.1248), Zr at (0.0000, 0.0000, 0.5000) and W at (0.2500, 0.2500, 0.7500).

Ba2ZrW | PBE | optimized geometry

For the electronic total energy, the calculation gives -44.4 eV per cell. The formation energy is 782 meV per atom. The calculation puts the total magnetization at 0.0 μB/f.u. Its energy above the most stable polymorph in this dataset is 159 meV per atom.

The space group is Cm (No. 8) and the conventional cell measures 9.1240, 3.4954 and 9.2798 Å, with angles of 90.00, 93.32 and 90.00 degrees. Symmetry generates all atoms from Ba at (0.0000, 0.0000, 0.0000), Ba at (0.2290, 0.0000, 0.5864), Zr at (0.4714, 0.0000, 0.3252) and W at (0.2410, 0.5000, 0.2557).

BaZr3W | PBE | optimized geometry

For the electronic total energy, the calculation gives -28.3 eV per cell. The formation energy is 2452 meV per atom. The calculation puts the total magnetization at 0.0 μB/f.u. Its energy above the most stable polymorph in this dataset is 1792 meV per atom.

The space group is Pm-3m (No. 221) and the conventional cell measures 5.1588, 5.1588 and 5.1588 Å, with angles of 90.00, 90.00 and 90.00 degrees. Symmetry generates all atoms from Ba at (0.0000, 0.0000, 0.0000), Zr at (0.0000, 0.0000, 0.5000) and W at (0.5000, 0.5000, 0.5000).

BaZrW2 | PBE | optimized geometry

For the electronic total energy, the calculation gives -31.2 eV per cell. The formation energy is 1303 meV per atom. The calculation puts the total magnetization at 0.0 μB/f.u. Its energy above the most stable polymorph in this dataset is 737 meV per atom.

The space group is Pmmm (No. 47) and the conventional cell measures 3.2751, 4.8531 and 5.2727 Å, with angles of 90.00, 90.00 and 90.00 degrees. Symmetry generates all atoms from Ba at (0.0000, 0.0000, 0.0000), Zr at (0.5000, 0.5000, 0.0000), W at (0.0000, 0.5000, 0.5000) and W at (0.5000, 0.0000, 0.5000).

Q: Which of these has the highest formation energy?
A: BaZr3W

Q: Number 4 is which compound?
A: BaZrW2

Q: Look up the electronic total energy of the fifth one.
A: -79.9 eV per cell